# 1
DFT (GGA-PBE) results for a relaxed structure of ReBPb3.

Results
- Magnetic moment: 3.0 Bohr magnetons per cell
- Energy of formation: 1.557 eV per atom
- Relative energy among the computed polymorphs: 0.113 eV per atom
- Final energy: -22.5 eV per cell

Cell lengths 4.944, 4.944, 4.944 Å; angles 90.00, 90.00, 90.00 degrees
Space group Pm-3m (No. 221)
Inequivalent atoms, fractional coordinates:
Re1 0.000 0.000 0.000 (multiplicity 1)
B1 0.500 0.500 0.500 (multiplicity 1)
Pb1 0.000 0.500 0.500 (multiplicity 3)

# 2
DFT (GGA-PBE) results for a relaxed structure of ReBSb2Pb.

Results
- Magnetic moment: 0.3 Bohr magnetons per cell
- Energy relative to the elements, uncorrected: 2418 meV per atom
- Final energy: -19.0 eV per cell

Cell lengths 5.708, 5.708, 4.081 Å; angles 90.00, 90.00, 90.00 degrees
Space group P4/mmm (No. 123)
Inequivalent atoms, fractional coordinates:
Re1 0.000 0.000 0.000 (multiplicity 1)
B1 0.500 0.500 0.000 (multiplicity 1)
Sb1 0.000 0.500 0.500 (multiplicity 2)
Pb1 0.500 0.500 0.500 (multiplicity 1)

# 3
DFT (GGA-PBE) results for a relaxed structure of ReBPb2Se.

Results
- Magnetic moment: 3.0 Bohr magnetons per cell
- Energy relative to the elements, uncorrected: 1459 meV per atom
- Final energy: -22.7 eV per cell

Cell lengths 5.222, 5.222, 4.100 Å; angles 90.00, 90.00, 90.00 degrees
Space group P4/mmm (No. 123)
Inequivalent atoms, fractional coordinates:
Re1 0.000 0.000 0.000 (multiplicity 1)
B1 0.500 0.500 0.500 (multiplicity 1)
Pb1 0.000 0.500 0.500 (multiplicity 2)
Se1 0.500 0.500 0.000 (multiplicity 1)

# 4
DFT (GGA-PBE) results for a relaxed structure of ReSiBPb2.

Results
- Magnetic moment: 1.8 Bohr magnetons per cell
- Energy relative to the elements, uncorrected: 1868 meV per atom
- Final energy: -22.6 eV per cell

Cell lengths 5.391, 5.391, 4.558 Å; angles 90.00, 90.00, 90.00 degrees
Space group P4/mmm (No. 123)
Inequivalent atoms, fractional coordinates:
Re1 0.000 0.000 0.000 (multiplicity 1)
Si1 0.000 0.000 0.500 (multiplicity 1)
B1 0.500 0.500 0.000 (multiplicity 1)
Pb1 0.000 0.500 0.500 (multiplicity 2)